Sb2H12PdC4Cl4 | PBE | relaxed

```
92
Lattice="9.801 0.000 0.000 0.000 10.210 0.000 -3.292 0.000 13.126" Properties=species:S:1:pos:R:3 pbc="T T T"
Sb 1.052 2.529 1.486
Sb -0.594 2.576 8.049
Sb 2.599 5.838 1.400
Sb 0.954 9.478 7.963
Sb 5.555 0.733 5.164
Sb 3.910 4.373 11.727
Sb 7.103 7.634 5.077
Sb 5.457 7.681 11.640
H -0.582 6.298 4.222
H -2.228 9.018 10.785
H 0.090 0.032 1.580
H -1.556 5.073 8.143
H -0.660 6.155 6.028
H -2.306 9.161 12.592
H -0.733 1.950 10.673
H 0.913 3.156 4.110
H 1.469 5.477 3.839
H -0.177 9.839 10.402
H 1.775 1.589 3.880
H 0.129 3.516 10.443
H 1.385 7.414 6.302
H -0.261 7.902 12.866
H 2.061 7.164 3.666
H 0.415 8.151 10.229
H 1.000 1.965 10.137
H 2.646 3.140 3.574
H 1.587 6.871 8.013
H 3.233 8.444 1.450
H 3.234 5.832 4.018
H 1.588 9.484 10.581
H 4.553 7.516 0.612
H 2.908 7.800 7.175
H 3.601 2.411 5.951
H 1.956 2.694 12.515
H 4.921 0.726 2.545
H 3.275 4.379 9.108
H 3.276 1.766 11.677
H 4.922 3.339 5.113
H 3.863 7.070 9.552
H 5.509 8.245 2.989
H 6.094 2.059 2.898
H 4.448 3.046 9.461
H 6.770 2.309 0.261
H 5.124 2.796 6.824
H 6.380 6.694 2.683
H 4.734 8.622 9.246
H 6.686 0.372 2.724
H 5.040 4.733 9.288
H 5.596 7.055 9.016
H 7.242 8.261 2.453
H 8.815 1.050 0.535
H 7.170 4.055 7.098
H 8.065 5.138 4.983
H 6.419 10.178 11.547
H 8.737 1.193 2.341
H 7.091 3.913 8.904
Pd -0.389 0.716 6.352
Pd -2.035 4.389 12.916
Pd 8.544 5.821 0.211
Pd 6.898 9.495 6.774
C -1.219 6.098 5.090
C -2.865 9.218 11.653
C 0.034 2.479 10.096
C 1.679 2.626 3.533
C 2.302 6.105 3.511
C 0.656 9.210 10.074
C 1.828 7.647 7.276
C 3.473 7.669 0.713
C 3.036 2.542 12.413
C 4.682 2.564 5.850
C 5.853 1.000 3.052
C 4.207 4.105 9.616
C 4.830 7.584 9.593
C 6.476 7.731 3.030
C 9.374 0.993 1.473
C 7.728 4.112 8.037
Cl 0.057 7.320 1.555
Cl -1.589 7.995 8.118
Cl -1.884 6.053 11.177
Cl -0.238 9.262 4.614
Cl 2.866 1.107 0.721
Cl 1.220 3.998 7.284
Cl 1.850 5.623 11.360
Cl 3.496 9.692 4.797
Cl 3.013 0.518 8.329
Cl 4.659 4.587 1.766
Cl 5.289 6.212 5.842
Cl 3.643 9.103 12.405
Cl 6.747 0.948 8.513
Cl 8.393 4.157 1.949
Cl 8.098 2.215 5.009
Cl 6.452 2.890 11.572
```

Calculated values
Its symmetry is P2_1/c (14). As for the calculated total energy: -0.168 hartree per atom.